Crystalline Pa2Se2BrO2 at its relaxed geometry. Source: Alexandria, functional PBE.

It has space group R-3m (No. 166, hexagonal axes), with a = 3.8538 Å, b = 3.8538 Å, c = 37.0006 Å, α = 90.00°, β = 90.00° and γ = 120.00°. The inequivalent atoms are Pa at (0.0000, 0.0000, 0.0960), Se at (0.0000, 0.0000, 0.3801), Br at (0.0000, 0.0000, 0.5000) and O at (0.0000, 0.0000, 0.2273).

The formation energy without anion corrections is -2256 meV per atom.



Crystalline Tm6Th2Zr at its relaxed geometry. Source: Alexandria, functional PBE.

It has space group C2/c (No. 15), with a = 15.9556 Å, b = 11.3825 Å, c = 5.9375 Å, α = 90.00°, β = 98.19° and γ = 90.00°. The inequivalent atoms are Tm at (0.0560, 0.1321, 0.0189), Tm at (0.1022, 0.3854, 0.3159), Tm at (0.2092, 0.3666, 0.8759), Th at (0.1746, 0.1228, 0.5607) and Zr at (0.0000, 0.3653, 0.7500).

The calculation puts the energy of formation at 142 meV per atom.



Crystalline ErCuNiPd at its relaxed geometry. Source: Alexandria, functional PBE.

It has space group F-43m (No. 216), with a = 6.3622 Å, b = 6.3622 Å, c = 6.3622 Å, α = 90.00°, β = 90.00° and γ = 90.00°. The inequivalent atoms are Er at (0.0000, 0.0000, 0.0000), Cu at (0.0000, 0.0000, 0.5000), Ni at (0.2500, 0.2500, 0.7500) and Pd at (0.2500, 0.2500, 0.2500).

The calculation puts the energy of formation at -377 meV per atom.



Crystalline PmCuSn2Pd at its relaxed geometry. Source: Alexandria, functional PBE.

It has space group I-4m2 (No. 119), with a = 4.4618 Å, b = 4.4618 Å, c = 11.1500 Å, α = 90.00°, β = 90.00° and γ = 90.00°. The inequivalent atoms are Pm at (0.0000, 0.0000, 0.0000), Cu at (0.0000, 0.5000, 0.7500), Sn at (0.0000, 0.0000, 0.3745) and Pd at (0.0000, 0.5000, 0.2500).

The calculation puts the energy of formation at -544 meV per atom.